VS2 | PBE-GGA | optimized geometry

Geometry as CIF:
```
data_VS2
_cell_length_a 2.944
_cell_length_b 3.168
_cell_length_c 6.428
_cell_angle_alpha 88.16
_cell_angle_beta 76.78
_cell_angle_gamma 90.00
_symmetry_space_group_name_H-M 'P 1'
_symmetry_Int_Tables_number 1
loop_
_symmetry_equiv_pos_as_xyz
'x,y,z'
loop_
_atom_site_label
_atom_site_type_symbol
_atom_site_fract_x
_atom_site_fract_y
_atom_site_fract_z
S1 S 0.896 0.836 0.708
S2 S 0.121 0.363 0.258
V1 V 0.483 0.347 0.534
```

Results
Spin magnetization in μB/f.u.: 0.0
Formation energy from raw total energies in eV per atom: -0.627